Entry i
A geometry-optimized Pr4Sm6Tm structure. Source: Alexandria via LeMat-Bulk, functional PBE.

Geometry as CIF:
```
data_Pr4Sm6Tm
_chemical_formula_sum 'Pr8 Sm12 Tm2'
_cell_length_a 6.785
_cell_length_b 6.785
_cell_length_c 16.981
_cell_angle_alpha 90.00
_cell_angle_beta 90.00
_cell_angle_gamma 90.00
_symmetry_space_group_name_H-M 'I -4 2 m'
_symmetry_Int_Tables_number 121
_symmetry_space_group_name_Hall 'I -4 2'
loop_
_atom_site_label
_atom_site_fract_x
_atom_site_fract_y
_atom_site_fract_z
Pr1 0.190 0.190 0.177
Sm1 0.000 0.500 0.000
Sm2 0.175 0.175 0.379
Tm1 0.000 0.000 0.000
```

=====

Entry ii
A geometry-optimized Pr4Sm6Tm structure. Source: Alexandria via LeMat-Bulk, functional PBE.

Geometry as CIF:
```
data_Pr4Sm6Tm
_chemical_formula_sum 'Pr8 Sm12 Tm2'
_cell_length_a 7.663
_cell_length_b 7.663
_cell_length_c 13.607
_cell_angle_alpha 90.00
_cell_angle_beta 90.00
_cell_angle_gamma 90.00
_symmetry_space_group_name_H-M 'I -4 2 m'
_symmetry_Int_Tables_number 121
_symmetry_space_group_name_Hall 'I -4 2'
loop_
_atom_site_label
_atom_site_fract_x
_atom_site_fract_y
_atom_site_fract_z
Pr1 0.175 0.175 0.420
Sm1 0.000 0.500 0.000
Sm2 0.226 0.226 0.186
Tm1 0.000 0.000 0.000
```

=====

Most stable to least stable, the ends of the list are entry i and entry ii.

=====

Entry i
A geometry-optimized Pr3Sm2Tm4 structure. Source: Alexandria via LeMat-Bulk, functional PBE.

Geometry as CIF:
```
data_Pr3Sm2Tm4
_chemical_formula_sum 'Pr12 Sm8 Tm16'
_cell_length_a 16.387
_cell_length_b 11.783
_cell_length_c 6.163
_cell_angle_alpha 90.00
_cell_angle_beta 97.51
_cell_angle_gamma 90.00
_symmetry_space_group_name_H-M 'C 1 2/c 1'
_symmetry_Int_Tables_number 15
loop_
_symmetry_equiv_pos_as_xyz
'x,y,z'
'-x,-y,-z'
'-x,y,-z+1/2'
'x,-y,z+1/2'
'x+1/2,y+1/2,z'
'-x+1/2,-y+1/2,-z'
'-x+1/2,y+1/2,-z+1/2'
'x+1/2,-y+1/2,z+1/2'
loop_
_atom_site_label
_atom_site_fract_x
_atom_site_fract_y
_atom_site_fract_z
Pr1 0.000 0.130 0.250
Pr2 0.162 0.356 0.092
Sm1 0.112 0.129 0.788
Tm1 0.057 0.385 0.540
Tm2 0.231 0.116 0.362
```

=====

Entry ii
A geometry-optimized Pr3Sm2Tm4 structure. Source: Alexandria via LeMat-Bulk, functional PBE.

Geometry as CIF:
```
data_Pr3Sm2Tm4
_chemical_formula_sum 'Pr6 Sm4 Tm8'
_cell_length_a 16.996
_cell_length_b 5.706
_cell_length_c 6.536
_cell_angle_alpha 90.00
_cell_angle_beta 108.94
_cell_angle_gamma 90.00
_symmetry_space_group_name_H-M 'C 1 2/m 1'
_symmetry_Int_Tables_number 12
loop_
_symmetry_equiv_pos_as_xyz
'x,y,z'
'-x,-y,-z'
'-x,y,-z'
'x,-y,z'
'x+1/2,y+1/2,z'
'-x+1/2,-y+1/2,-z'
'-x+1/2,y+1/2,-z'
'x+1/2,-y+1/2,z'
loop_
_atom_site_label
_atom_site_fract_x
_atom_site_fract_y
_atom_site_fract_z
Pr1 0.000 0.000 0.000
Pr2 0.135 0.000 0.582
Sm1 0.141 0.500 0.292
Tm1 0.067 0.500 0.749
Tm2 0.227 0.000 0.142
```

=====

Most stable to least stable, the ends of the list are entry ii and entry i.

=====

Entry i
A geometry-optimized PrSm4Tm structure. Source: Alexandria via LeMat-Bulk, functional PBE.

Geometry as CIF:
```
data_PrSm4Tm
_chemical_formula_sum 'Pr4 Sm16 Tm4'
_cell_length_a 9.424
_cell_length_b 9.424
_cell_length_c 9.424
_cell_angle_alpha 90.00
_cell_angle_beta 90.00
_cell_angle_gamma 90.00
_symmetry_space_group_name_H-M 'F -4 3 m'
_symmetry_Int_Tables_number 216
_symmetry_space_group_name_Hall 'F -4 2 3'
loop_
_atom_site_label
_atom_site_fract_x
_atom_site_fract_y
_atom_site_fract_z
Pr1 0.000 0.000 0.000
Sm1 0.124 0.124 0.376
Tm1 0.250 0.250 0.750
```

=====

Entry ii
A geometry-optimized PrSm4Tm structure. Source: Alexandria via LeMat-Bulk, functional PBE.

Geometry as CIF:
```
data_PrSm4Tm
_chemical_formula_sum 'Pr2 Sm8 Tm2'
_cell_length_a 11.783
_cell_length_b 3.474
_cell_length_c 11.625
_cell_angle_alpha 90.00
_cell_angle_beta 119.76
_cell_angle_gamma 90.00
_symmetry_space_group_name_H-M 'C 1 2/m 1'
_symmetry_Int_Tables_number 12
loop_
_symmetry_equiv_pos_as_xyz
'x,y,z'
'-x,-y,-z'
'-x,y,-z'
'x,-y,z'
'x+1/2,y+1/2,z'
'-x+1/2,-y+1/2,-z'
'-x+1/2,y+1/2,-z'
'x+1/2,-y+1/2,z'
loop_
_atom_site_label
_atom_site_fract_x
_atom_site_fract_y
_atom_site_fract_z
Pr1 0.000 0.000 0.000
Sm1 0.187 0.000 0.841
Sm2 0.193 0.000 0.348
Tm1 0.000 0.000 0.500
```

=====

Most stable to least stable, the ends of the list are entry ii and entry i.